(1)
Compound: Mg6Cu5Rh
Source: Alexandria via LeMat-Bulk
Functional: PBE-GGA
Structure: relaxed

abc: 4.3917 6.4462 6.9747
angles: 90.00 71.11 90.00
Closest atoms and distances in Å follow each position.
Positions (direct):
Mg1 0.8326 0.7522 0.3303  1 Rh 2.70, 7 Cu 2.71-2.75
Mg2 0.8326 0.2478 0.3303  1 Rh 2.70, 7 Cu 2.71-2.75
Mg3 0.5000 0.2483 0.0000  6 Cu 2.71-2.77, 2 Rh 2.72
Mg4 0.5000 0.7517 0.0000  6 Cu 2.71-2.77, 2 Rh 2.72
Mg5 0.1674 0.7522 0.6697  1 Rh 2.70, 7 Cu 2.71-2.75
Mg6 0.1674 0.2478 0.6697  1 Rh 2.70, 7 Cu 2.71-2.75
Rh1 0.0000 0.0000 0.0000  8 Mg 2.70-2.72
Cu1 0.6740 0.5000 0.6596  8 Mg 2.71-2.77, 1 Cu 3.00
Cu2 0.3300 0.0000 0.3311  8 Mg 2.71-2.75
Cu3 0.0000 0.5000 0.0000  8 Mg 2.72-2.73
Cu4 0.6700 0.0000 0.6689  8 Mg 2.71-2.75
Cu5 0.3260 0.5000 0.3404  8 Mg 2.71-2.77, 1 Cu 3.00

The crystal system is monoclinic. The value obtained for the energy relative to the elements is -0.1718 eV/atom.

(2)
Compound: GeBiS2N
Source: Alexandria via LeMat-Bulk
Functional: PBE-GGA
Structure: relaxed

abc: 5.2540 5.2540 4.1800
angles: 90.00 90.00 90.00
Closest atoms and distances in Å follow each position.
Positions (direct):
S1 0.0000 0.5000 0.0000  2 Bi 2.63
S2 0.5000 0.0000 0.0000  2 Bi 2.63
Ge1 0.5000 0.5000 0.5000  8 S 3.36, 4 N 3.72
Bi1 0.0000 0.0000 0.0000  2 N 2.09
N1 0.0000 0.0000 0.5000  2 Bi 2.09

The crystal system is tetragonal. The calculation puts the formation energy without anion corrections at 1.058 eV/atom.

(3)
Compound: BaBr
Source: Alexandria via LeMat-Bulk
Functional: PBE-GGA
Structure: relaxed

abc: 5.3407 5.3407 5.3407
angles: 60.00 60.00 60.00
Closest atoms and distances in Å follow each position.
Positions (direct):
Ba1 0.0000 0.0000 0.0000  4 Br 3.27
Br1 0.7500 0.7500 0.7500  4 Ba 3.27

The crystal system is cubic. The calculation puts the formation energy without anion corrections at -1.422 eV/atom.

(4)
Compound: AlTl2Mo
Source: Alexandria via LeMat-Bulk
Functional: PBE-GGA
Structure: relaxed

abc: 3.7357 3.7319 5.8412
angles: 90.00 90.00 90.00
Closest atoms and distances in Å follow each position.
Positions (direct):
Tl1 0.0000 0.0000 0.9967  2 Tl 2.88-2.96, 4 Mo 3.01, 4 Al 3.03
Tl2 0.0000 0.0000 0.5033  2 Tl 2.88-2.96, 4 Mo 3.01, 4 Al 3.03
Mo1 0.5000 0.5000 0.7500  2 Al 2.92, 8 Tl 3.01
Al1 0.5000 0.5000 0.2500  2 Mo 2.92, 8 Tl 3.03

The crystal system is tetragonal. The value obtained for the energy relative to the elements is 0.6209 eV/atom.

(5)
Compound: TaNi2Ag
Source: Alexandria via LeMat-Bulk
Functional: PBE-GGA
Structure: relaxed

abc: 4.1658 2.7904 5.1182
angles: 74.23 90.00 90.00
Closest atoms and distances in Å follow each position.
Positions (direct):
Ag1 0.5000 0.7899 0.7944  7 Ni 2.61-2.71, 2 Ag 2.79
Ni1 0.0000 0.1901 0.9931  2 Ni 2.48, 3 Ta 2.64-2.69, 4 Ag 2.69
Ni2 0.5000 0.0561 0.2647  2 Ni 2.48, 3 Ag 2.61-2.71, 4 Ta 2.66-2.67
Ta1 0.0000 0.4639 0.4478  7 Ni 2.64-2.69, 2 Ta 2.79

The crystal system is orthorhombic. The value obtained for the energy relative to the elements is 0.0785 eV/atom.

(6)
Compound: InCuOs2
Source: Alexandria via LeMat-Bulk
Functional: PBE-GGA
Structure: relaxed

abc: 4.5676 2.8067 4.8781
angles: 85.45 90.00 90.00
Closest atoms and distances in Å follow each position.
Positions (direct):
Cu1 0.5000 0.2500 0.2500  4 Os 2.63, 4 In 2.72-2.91, 2 Cu 2.81
In1 0.5000 0.7500 0.7500  4 Cu 2.72-2.91, 4 Os 2.79, 2 In 2.81
Os1 0.0000 0.0237 0.0242  5 Os 2.58-2.87, 2 Cu 2.63, 2 In 2.79
Os2 0.0000 0.4763 0.4758  5 Os 2.58-2.87, 2 Cu 2.63, 2 In 2.79

The crystal system is monoclinic. The value obtained for the energy relative to the elements is 0.5406 eV/atom.